1.
LuAlAgAu after structural relaxation. Source: Alexandria, functional PBE.

Output
* M_tot: 0.0 μB/cell
* energy relative to the elements: -2.16 eV/f.u.

a = 4.759 Å, b = 4.759 Å, c = 4.759 Å
α = 60.00°, β = 60.00°, γ = 60.00°
Fractional positions:
Al  0.500  0.500  0.500
Ag  0.250  0.250  0.250
Lu  0.000  0.000  0.000
Au  0.750  0.750  0.750



2.
MgAl2Ag2Au5 after structural relaxation. Source: Alexandria, functional PBE.

Output
* M_tot: 0.0 μB/cell
* energy relative to the elements: -2.43 eV/f.u.

a = 4.072 Å, b = 9.432 Å, c = 9.432 Å
α = 90.00°, β = 90.00°, γ = 90.00°
Fractional positions:
Au  0.500  0.195  0.085
Au  0.500  0.305  0.585
Au  0.500  0.500  0.000
Al  0.000  0.124  0.624
Au  0.500  0.585  0.695
Au  0.500  0.915  0.195
Au  0.500  0.805  0.915
Al  0.000  0.624  0.876
Au  0.500  0.000  0.500
Al  0.000  0.876  0.376
Ag  0.000  0.172  0.328
Ag  0.000  0.672  0.172
Mg  0.000  0.000  0.000
Au  0.500  0.415  0.305
Ag  0.000  0.328  0.828
Mg  0.000  0.500  0.500
Ag  0.000  0.828  0.672
Au  0.500  0.085  0.805
Al  0.000  0.376  0.124
Au  0.500  0.695  0.415



3.
MgAl2AgAu2 after structural relaxation. Source: Alexandria, functional PBE.

Output
* M_tot: 0.0 μB/cell
* energy relative to the elements: -2.28 eV/f.u.

a = 4.529 Å, b = 4.529 Å, c = 5.825 Å
α = 90.00°, β = 90.00°, γ = 120.00°
Fractional positions:
Al  0.667  0.333  0.285
Mg  0.000  0.000  0.000
Ag  0.000  0.000  0.500
Au  0.667  0.333  0.767
Al  0.333  0.667  0.715
Au  0.333  0.667  0.233



4.
Mg2AlAgAu4 after structural relaxation. Source: Alexandria, functional PBE.

Output
* M_tot: 0.0 μB/cell
* energy relative to the elements: -3.56 eV/f.u.

a = 4.617 Å, b = 4.617 Å, c = 8.054 Å
α = 73.34°, β = 73.34°, γ = 60.00°
Fractional positions:
Al  0.500  0.500  0.500
Au  0.616  0.616  0.153
Mg  0.256  0.256  0.231
Au  0.868  0.868  0.395
Au  0.384  0.384  0.847
Mg  0.744  0.744  0.769
Au  0.132  0.132  0.605
Ag  0.000  0.000  0.000



5.
Mg2Al2AgAu5 after structural relaxation. Source: Alexandria, functional PBE.

Output
* M_tot: 0.0 μB/cell
* energy relative to the elements: -3.14 eV/f.u.

a = 3.196 Å, b = 10.863 Å, c = 10.863 Å
α = 90.00°, β = 90.00°, γ = 90.00°
Fractional positions:
Al  0.000  0.362  0.138
Ag  0.000  0.500  0.500
Au  0.500  0.827  0.876
Mg  0.000  0.342  0.842
Ag  0.000  0.000  0.000
Au  0.500  0.876  0.173
Al  0.000  0.862  0.362
Au  0.500  0.173  0.124
Au  0.500  0.624  0.673
Mg  0.000  0.158  0.342
Au  0.500  0.327  0.624
Mg  0.000  0.842  0.658
Al  0.000  0.638  0.862
Au  0.500  0.500  0.000
Mg  0.000  0.658  0.158
Au  0.500  0.376  0.327
Au  0.500  0.000  0.500
Al  0.000  0.138  0.638
Au  0.500  0.673  0.376
Au  0.500  0.124  0.827



6.
MnAlAgAu after structural relaxation. Source: Alexandria, functional PBE.

Output
* M_tot: 3.9 μB/cell
* energy relative to the elements: -0.48 eV/f.u.

a = 4.515 Å, b = 4.515 Å, c = 4.515 Å
α = 60.00°, β = 60.00°, γ = 60.00°
Last column: magnetic moment on the atom in μB.
Fractional positions:
Al  0.750  0.750  0.750  -0.03
Au  0.000  0.000  0.000  0.01
Ag  0.500  0.500  0.500  0.00
Mn  0.250  0.250  0.250  3.76